[1]
VASP calculation (PBE) on a relaxed Li6SmAg2 crystal.

```
Li6SmAg2
1.0
-1.600 1.416 -3.444
-3.527 0.626 1.896
3.312 10.382 2.730
Li Sm Ag
6 1 2
direct
0.000 0.500 0.288
0.500 0.000 0.288
0.000 0.500 0.712
0.500 0.000 0.712
0.500 0.500 0.500
0.000 0.000 0.500
0.000 0.000 0.000
0.500 0.500 0.126
0.500 0.500 0.874
```

Computed properties:
formation enthalpy at 0 K	-105.9	meV/atom
D(E_F)	0.42	states/eV per atom


[2]
VASP calculation (PBE) on a relaxed CdTeO4 crystal.

```
CdTeO4
1.0
-3.637 -2.065 4.530
-2.239 -1.725 -4.892
4.712 -3.116 0.056
Cd Te O
2 2 8
direct
0.750 0.611 0.389
0.250 0.389 0.611
0.250 0.977 0.023
0.750 0.023 0.977
0.584 0.748 0.668
0.973 0.862 0.161
0.916 0.332 0.252
0.527 0.839 0.138
0.473 0.161 0.862
0.084 0.668 0.748
0.027 0.138 0.839
0.416 0.252 0.332
```

Computed properties:
ΔE_f (raw)	-0.95	eV per atom


[3]
VASP calculation (PBE) on a relaxed LiFeP crystal.

```
LiFeP
1.0
-1.765 4.225 1.179
-4.344 -1.508 -1.099
-0.834 -2.054 6.112
P Fe Li
4 4 4
direct
0.500 0.854 0.000
0.500 0.146 0.500
0.146 0.500 0.250
0.854 0.500 0.750
0.713 0.713 0.375
0.287 0.287 0.875
0.287 0.713 0.625
0.713 0.287 0.125
0.000 0.797 0.000
0.000 0.203 0.500
0.203 0.000 0.250
0.797 0.000 0.750
```

Computed properties:
formation enthalpy at 0 K	46.0	meV/atom
D(E_F)	0.74	states/eV per atom


[4]
VASP calculation (PBE) on a relaxed TlReMo2 crystal.

```
TlReMo2
1.0
-0.210 -3.105 9.037
1.182 -5.355 7.828
2.674 -3.004 8.671
Mo Re Tl
2 1 1
direct
0.994 0.994 0.994
0.506 0.506 0.506
0.250 0.250 0.250
0.750 0.750 0.750
```

Computed properties:
formation enthalpy at 0 K	523.3	meV/atom
D(E_F)	0.74	states/eV per atom


no.,final energy (eV per cell)
1,-22.86
2,-59.22
3,-62.59
4,-34.38